one) Here is a geometry-optimized AlTl3Sb structure from Alexandria via LeMat-Bulk. Energies are from PBE.

a b c (Å): 5.8747 5.8747 5.8747
angles (deg): 90.00 90.00 90.00
With the nearest neighbours (Å) after each atom.
Fractional coordinates of all 5 atoms:
Al 0.0000 0.0000 0.0000  12 Tl 4.15
Tl 0.0000 0.5000 0.5000  2 Sb 2.94
Tl 0.5000 0.0000 0.5000  2 Sb 2.94
Tl 0.5000 0.5000 0.0000  2 Sb 2.94
Sb 0.5000 0.5000 0.5000  6 Tl 2.94

Output
DOS at the Fermi energy   0.775 states/eV per atom
Calculated volume   40.55 A^3/atom
Spin magnetization   0.0 μB per formula unit

two) Here is a geometry-optimized AlTl3Sb structure from Alexandria via LeMat-Bulk. Energies are from PBE.

a b c (Å): 5.4092 5.4092 5.4092
angles (deg): 90.00 90.00 90.00
With the nearest neighbours (Å) after each atom.
Fractional coordinates of all 5 atoms:
Al 0.0000 0.0000 0.0000  6 Tl 2.70
Tl 0.0000 0.0000 0.5000  2 Al 2.70
Tl 0.0000 0.5000 0.0000  2 Al 2.70
Tl 0.5000 0.0000 0.0000  2 Al 2.70
Sb 0.5000 0.5000 0.5000  12 Tl 3.82

Output
DOS at the Fermi energy   0.736 states/eV per atom
Calculated volume   31.65 A^3/atom
Spin magnetization   0.0 μB per formula unit

Last place for stability: one)

one) Here is a geometry-optimized AlTlSb structure from Alexandria via LeMat-Bulk. Energies are from PBE.

a b c (Å): 6.5971 6.5971 6.5971
angles (deg): 140.30 84.61 108.94
With the nearest neighbours (Å) after each atom.
Fractional coordinates of all 6 atoms:
Al 0.1398 0.0000 0.1398  1 Al 2.73, 3 Sb 2.76-2.81
Al 0.8602 0.0000 0.8602  1 Al 2.73, 3 Sb 2.76-2.81
Tl 0.2563 0.7563 0.5000  4 Al 3.28, 4 Sb 3.43, 2 Tl 3.58
Tl 0.6207 0.6207 0.0000  2 Al 3.21, 2 Sb 3.36, 2 Tl 3.58
Sb 0.0741 0.3339 0.7403  3 Al 2.76-2.81
Sb 0.5936 0.3339 0.2597  3 Al 2.76-2.81

Output
DOS at the Fermi energy   0.334 states/eV per atom
Calculated volume   27.94 A^3/atom
Spin magnetization   0.0 μB per formula unit

two) Here is a geometry-optimized AlTlSb structure from Alexandria via LeMat-Bulk. Energies are from PBE.

a b c (Å): 4.9631 4.9631 4.9631
angles (deg): 60.00 60.00 60.00
With the nearest neighbours (Å) after each atom.
Fractional coordinates of all 3 atoms:
Al 0.0000 0.0000 0.0000  4 Sb 3.04, 4 Tl 3.04
Tl 0.2500 0.2500 0.2500  4 Al 3.04
Sb 0.7500 0.7500 0.7500  4 Al 3.04

Output
DOS at the Fermi energy   0.629 states/eV per atom
Calculated volume   28.81 A^3/atom
Spin magnetization   0.0 μB per formula unit

Last place for stability: two)

one) Here is a geometry-optimized AlTlSb structure from Alexandria via LeMat-Bulk. Energies are from PBE.

a b c (Å): 5.0669 5.0669 10.2984
angles (deg): 111.77 111.77 51.59
With the nearest neighbours (Å) after each atom.
Fractional coordinates of all 6 atoms:
Al 0.1161 0.1161 0.4604  1 Al 2.56, 3 Sb 2.77-2.80
Al 0.8839 0.8839 0.5396  1 Al 2.56, 3 Sb 2.77-2.80
Tl 0.2079 0.2079 0.1161  3 Sb 3.26, 3 Tl 3.55-3.56
Tl 0.7921 0.7921 0.8839  3 Sb 3.26, 3 Tl 3.55-3.56
Sb 0.4025 0.4025 0.7085  3 Al 2.77-2.80
Sb 0.5975 0.5975 0.2915  3 Al 2.77-2.80

Output
DOS at the Fermi energy   0.120 states/eV per atom
Calculated volume   31.46 A^3/atom
Spin magnetization   0.0 μB per formula unit

two) Here is a geometry-optimized AlTlSb structure from Alexandria via LeMat-Bulk. Energies are from PBE.

a b c (Å): 6.6759 6.6759 6.6759
angles (deg): 150.75 146.28 45.24
With the nearest neighbours (Å) after each atom.
Fractional coordinates of all 3 atoms:
Al 0.0000 0.0000 0.0000  4 Sb 2.94
Tl 0.3250 0.3250 0.0000  4 Al 3.35, 2 Tl 3.37, 5 Sb 3.58-3.64
Sb 0.6159 0.6159 0.0000  4 Al 2.94

Output
DOS at the Fermi energy   0.400 states/eV per atom
Calculated volume   26.82 A^3/atom
Spin magnetization   0.0 μB per formula unit

Last place for stability: two)

one) Here is a geometry-optimized AlTlSb structure from Alexandria via LeMat-Bulk. Energies are from PBE.

a b c (Å): 7.1438 7.0058 3.4971
angles (deg): 77.89 73.51 28.60
With the nearest neighbours (Å) after each atom.
Fractional coordinates of all 3 atoms:
Al 0.0000 0.0000 0.0000  4 Sb 2.82-3.15, 2 Tl 3.13
Tl 0.3368 0.3368 0.6632  4 Al 3.13-3.43, 4 Tl 3.50
Sb 0.6266 0.6266 0.3734  4 Al 2.82-3.15

Output
DOS at the Fermi energy   0.236 states/eV per atom
Calculated volume   26.68 A^3/atom
Spin magnetization   0.0 μB per formula unit

two) Here is a geometry-optimized AlTlSb structure from Alexandria via LeMat-Bulk. Energies are from PBE.

a b c (Å): 6.2639 6.2639 8.1006
angles (deg): 122.32 122.32 40.79
With the nearest neighbours (Å) after each atom.
Fractional coordinates of all 6 atoms:
Al 0.1274 0.1274 0.0357  1 Al 2.71, 3 Sb 2.77-2.86
Al 0.8726 0.8726 0.9643  1 Al 2.71, 3 Sb 2.77-2.86
Tl 0.4325 0.4325 0.6467  5 Sb 3.28-3.54, 2 Al 3.42, 1 Tl 3.53
Tl 0.5675 0.5675 0.3533  5 Sb 3.28-3.54, 2 Al 3.42, 1 Tl 3.53
Sb 0.2050 0.2050 0.7593  3 Al 2.77-2.86
Sb 0.7950 0.7950 0.2407  3 Al 2.77-2.86

Output
DOS at the Fermi energy   0.253 states/eV per atom
Calculated volume   28.43 A^3/atom
Spin magnetization   0.0 μB per formula unit

three) Here is a geometry-optimized AlTlSb structure from Alexandria via LeMat-Bulk. Energies are from PBE.

a b c (Å): 4.3672 4.3672 8.9371
angles (deg): 90.00 90.00 90.00
With the nearest neighbours (Å) after each atom.
Fractional coordinates of all 6 atoms:
Al 0.2500 0.7500 0.0000  4 Sb 2.81, 4 Al 3.09
Al 0.7500 0.2500 0.0000  4 Sb 2.81, 4 Al 3.09
Tl 0.2500 0.2500 0.4065  4 Tl 3.51, 5 Sb 3.54-3.61
Tl 0.7500 0.7500 0.5935  4 Tl 3.51, 5 Sb 3.54-3.61
Sb 0.2500 0.2500 0.8021  4 Al 2.81
Sb 0.7500 0.7500 0.1979  4 Al 2.81

Output
DOS at the Fermi energy   0.425 states/eV per atom
Calculated volume   28.41 A^3/atom
Spin magnetization   0.0 μB per formula unit

Last place for stability: one)